The following is a DFT calculation (PBE) of an optimized crystal structure of La2InPd5Rh2.

E_form, eV per atom: -0.622
Calculated volume, Å³/atom: 19.2
Magnetization, μB per cell: 0.000

Geometry as CIF:
```
data_La2InPd5Rh2
_chemical_formula_sum 'La4 In2 Pd10 Rh4'
_space_group_name_H-M_alt 'P 1'
_space_group_IT_number 1
_cell_length_a 9.554
_cell_length_b 9.554
_cell_length_c 4.214
_cell_angle_alpha 90.00
_cell_angle_beta 90.00
_cell_angle_gamma 90.00
loop_
_space_group_symop_operation_xyz
'x,y,z'
loop_
_atom_site_label
_atom_site_type_symbol
_atom_site_fract_x
_atom_site_fract_y
_atom_site_fract_z
_atom_site_occupancy
La1 La 0.167 0.333 0.000 1
La2 La 0.333 0.833 0.000 1
La3 La 0.667 0.167 0.000 1
La4 La 0.833 0.667 0.000 1
In1 In 0.000 0.000 0.000 1
In2 In 0.500 0.500 0.000 1
Pd1 Pd 0.000 0.500 0.500 1
Pd2 Pd 0.071 0.800 0.500 1
Pd3 Pd 0.200 0.071 0.500 1
Pd4 Pd 0.300 0.571 0.500 1
Pd5 Pd 0.429 0.300 0.500 1
Pd6 Pd 0.500 0.000 0.500 1
Pd7 Pd 0.571 0.700 0.500 1
Pd8 Pd 0.700 0.429 0.500 1
Pd9 Pd 0.800 0.929 0.500 1
Pd10 Pd 0.929 0.200 0.500 1
Rh1 Rh 0.131 0.631 0.000 1
Rh2 Rh 0.369 0.131 0.000 1
Rh3 Rh 0.631 0.869 0.000 1
Rh4 Rh 0.869 0.369 0.000 1
```